Record 1
Entry from OQMD via LeMat-Bulk: a relaxed structure of AgBH6Pt (PBE).

The uncorrected energy is -3.362 eV/atom.

The space group is F-43m (No. 216) and the conventional cell measures 6.831, 6.831 and 6.831 Å, with angles of 90.00, 90.00 and 90.00 degrees. The asymmetric unit holds Ag at (0.000, 0.000, 0.000), B at (0.000, 0.000, 0.500), H at (0.005, 0.250, 0.750) and Pt at (0.250, 0.250, 0.750).

***

Record 2
Entry from OQMD via LeMat-Bulk: a relaxed structure of LaBeReTe (PBE).

The uncorrected energy is -5.663 eV/atom. The energy above the lowest structure with this stoichiometry is 0.000 eV per atom.

The space group is F-43m (No. 216) and the conventional cell measures 6.828, 6.828 and 6.828 Å, with angles of 90.00, 90.00 and 90.00 degrees. The asymmetric unit holds La at (0.000, 0.000, 0.000), Be at (0.250, 0.250, 0.250), Re at (0.000, 0.000, 0.500) and Te at (0.250, 0.250, 0.750).

***

Record 3
Entry from OQMD via LeMat-Bulk: a relaxed structure of MgZrB4 (PBE).

The uncorrected energy is -6.637 eV/atom. The energy above the lowest structure with this stoichiometry is 0.016 eV per atom.

The space group is Immm (No. 71) and the conventional cell measures 3.132, 5.373 and 7.160 Å, with angles of 90.00, 90.00 and 90.00 degrees. The asymmetric unit holds Mg at (0.000, 0.000, 0.000), Zr at (0.000, 0.000, 0.500) and B at (0.000, 0.331, 0.247).

***

Record 4
Entry from OQMD via LeMat-Bulk: a relaxed structure of Tm3LuSc2Bi2Os (PBE).

The uncorrected energy is -6.130 eV/atom.

The space group is Amm2 (No. 38) and the conventional cell measures 4.190, 13.820 and 7.992 Å, with angles of 90.00, 90.00 and 90.00 degrees. The asymmetric unit holds Tm at (0.000, 0.000, 0.000), Tm at (0.000, 0.193, 0.571), Lu at (0.500, 0.000, 0.608), Sc at (0.500, 0.113, 0.266), Bi at (0.500, 0.168, 0.882) and Os at (0.000, 0.000, 0.371).

***

Record 5
Entry from OQMD via LeMat-Bulk: a relaxed structure of PrGdZn6Ge3 (PBE).

The uncorrected energy is -3.216 eV/atom.

The space group is Pmc2_1 (No. 26) and the conventional cell measures 4.078, 13.248 and 7.648 Å, with angles of 90.00, 90.00 and 90.00 degrees. The asymmetric unit holds Pr at (0.000, 0.084, 0.000), Gd at (0.000, 0.417, 0.000), Zn at (0.000, 0.156, 0.406), Zn at (0.000, 0.252, 0.690), Zn at (0.000, 0.346, 0.404), Zn at (0.500, 0.107, 0.645), Zn at (0.500, 0.252, 0.212), Zn at (0.500, 0.395, 0.643), Ge at (0.500, 0.059, 0.309), Ge at (0.500, 0.254, 0.884) and Ge at (0.500, 0.443, 0.307).

***

Record 6
Entry from OQMD via LeMat-Bulk: a relaxed structure of FeSe3 (PBE).

The uncorrected energy is -4.365 eV/atom.

The space group is I4/mmm (No. 139) and the conventional cell measures 3.628, 3.628 and 14.813 Å, with angles of 90.00, 90.00 and 90.00 degrees. The asymmetric unit holds Fe at (0.000, 0.000, 0.000), Se at (0.000, 0.000, 0.500) and Se at (0.000, 0.500, 0.250).